Record 1
La5PmPb3 | PBE | relaxed

Cell: 9.9365 9.9365 6.9381 Å, 90.00 90.00 120.00°
Last column: nearest neighbours and their distance in Å.
Space group P6_3/mcm (No. 193)
Unique sites:
La 0.0000 0.3323 0.2500 x6  5 Pb 3.30-3.47
La 0.3333 0.6667 0.0000 x4  8 La 3.47-3.74, 6 Pb 3.74
Pm 0.0000 0.0000 0.0000 x2  2 Pm 3.47, 6 La 3.73, 6 Pb 3.73
Pb 0.0000 0.3328 0.7500 x6  5 La 3.30-3.47

Results
**Energy relative to the elements**: -465 meV/atom
**Crystal system**: hexagonal
**Raw total energy**: -4.9663 eV per atom


Record 2
ZrTlCl | PBE | relaxed

Cell: 3.3288 3.3288 8.3399 Å, 90.00 90.00 120.00°
Last column: nearest neighbours and their distance in Å.
Space group P3m1 (No. 156)
Unique sites:
Zr 0.0000 0.0000 0.0000 x1  3 Cl 2.61
Tl 0.6667 0.3333 0.6942 x1  3 Zr 3.19, 6 Tl 3.33
Cl 0.3333 0.6667 0.2125 x1  3 Zr 2.61

Results
**Crystal system**: trigonal
**Raw total energy**: -4.9246 eV per atom
**ΔE_f (raw)**: -194 kJ/mol of formula units
**ΔE to the lowest computed polymorph**: 0 meV per atom


Record 3
SmBe4PdPt2 | PBE | relaxed

Cell: 3.9443 3.9443 24.9026 Å, 90.00 90.00 120.00°
Last column: nearest neighbours and their distance in Å.
Space group R-3m (No. 166, hexagonal axes)
Unique sites:
Sm 0.0000 0.0000 0.0000 x3  8 Be 2.95-3.25, 6 Pt 3.30
Be 0.0000 0.0000 0.1303 x6  4 Pt 2.43-2.66, 3 Pd 2.45, 3 Be 2.65
Be 0.0000 0.0000 0.4089 x6  1 Pd 2.27, 3 Pt 2.33
Pd 0.0000 0.0000 0.5000 x3  8 Be 2.27-2.45
Pt 0.0000 0.0000 0.2373 x6  6 Be 2.33-2.43

Results
**Energy relative to the elements**: -650 meV/atom
**Crystal system**: trigonal
**Raw total energy**: -5.2626 eV per atom


Record 4
LiYTmSe3 | PBE | relaxed

Cell: 8.2733 3.9362 8.7098 Å, 90.00 102.97 90.00°
Last column: nearest neighbours and their distance in Å.
Space group P2_1/m (No. 11)
Unique sites:
Li 0.0864 0.2500 0.0836 x2  4 Se 2.50-2.54, 2 Li 2.66
Y 0.1882 0.2500 0.7248 x2  7 Se 2.90-3.03
Tm 0.3342 0.7500 0.3348 x2  6 Se 2.80-2.89
Se 0.0926 0.2500 0.3716 x2  1 Li 2.50
Se 0.2277 0.7500 0.9958 x2  3 Li 2.50-2.54
Se 0.4266 0.7500 0.6714 x2  3 Tm 2.80-2.86, 2 Y 2.90

Results
**Crystal system**: monoclinic
**Raw total energy**: -5.5018 eV per atom
**ΔE_f (raw)**: -937 kJ/mol of formula units


Record 5
Li3CuPd | PBE | relaxed

Cell: 4.4360 4.4360 4.4360 Å, 90.00 90.00 90.00°
Last column: nearest neighbours and their distance in Å.
Space group Pm-3m (No. 221)
Unique sites:
Li 0.0000 0.0000 0.5000 x3  2 Cu 2.22
Cu 0.0000 0.0000 0.0000 x1  6 Li 2.22
Pd 0.5000 0.5000 0.5000 x1  12 Li 3.14

Results
**Energy relative to the elements**: 254 meV/atom
**Crystal system**: cubic
**Raw total energy**: -2.7518 eV per atom
**ΔE to the lowest computed polymorph**: 465 meV per atom


Record 6
La2OsRh | PBE | relaxed

Cell: 3.5858 3.5858 7.1369 Å, 90.00 90.00 90.00°
Last column: nearest neighbours and their distance in Å.
Space group P4/mmm (No. 123)
Unique sites:
La 0.0000 0.0000 0.2475 x2  4 Os 3.09, 4 Rh 3.11
Os 0.5000 0.5000 0.0000 x1  8 La 3.09
Rh 0.5000 0.5000 0.5000 x1  8 La 3.11

Results
**Energy relative to the elements**: -241 meV/atom
**Crystal system**: tetragonal
**Raw total energy**: -7.3498 eV per atom
**ΔE to the lowest computed polymorph**: 0 meV per atom


Record 7
Cu2SbPtO8 | PBE | relaxed

Cell: 6.3512 6.3512 6.8960 Å, 90.00 90.00 90.00°
Last column: nearest neighbours and their distance in Å.
Space group I-4m2 (No. 119)
Unique sites:
Cu 0.0000 0.0000 0.0000 x2  4 O 1.83
Cu 0.0000 0.5000 0.2500 x2  4 O 1.94
Sb 0.0000 0.5000 0.7500 x2  4 O 2.00
Pt 0.0000 0.0000 0.5000 x2  4 O 1.98
O 0.0000 0.1905 0.8010 x8  1 Cu 1.83, 1 Sb 2.00
O 0.0000 0.3107 0.4704 x8  1 Cu 1.94, 1 Pt 1.98

Results
**Crystal system**: tetragonal
**Raw total energy**: -5.1333 eV per atom
**ΔE_f (raw)**: -345 kJ/mol of formula units


Record 8
Tm6C3S2 | PBE | relaxed

Cell: 6.2709 10.8538 6.5747 Å, 90.00 108.61 90.00°
Last column: nearest neighbours and their distance in Å.
Space group C2/m (No. 12)
Unique sites:
Tm 0.2345 0.1685 0.2097 x8  3 C 2.43-2.48
Tm 0.2392 0.5000 0.2061 x4  3 C 2.43-2.47
C 0.0000 0.0000 0.0000 x2  6 Tm 2.43-2.47
C 0.0000 0.3317 0.0000 x4  6 Tm 2.43-2.48
S 0.0000 0.1662 0.5000 x4  6 Tm 2.76

Results
**Crystal system**: monoclinic
**Raw total energy**: -6.7715 eV per atom
**ΔE_f (raw)**: -1132 kJ/mol of formula units


Record 9
NdDy2Cu | PBE | relaxed

Cell: 4.9512 11.7786 7.5266 Å, 90.00 90.00 90.00°
Last column: nearest neighbours and their distance in Å.
Space group Cmcm (No. 63)
Unique sites:
Nd 0.0000 0.0482 0.2500 x4  1 Cu 2.94
Dy 0.0000 0.3505 0.0304 x8  3 Cu 2.75-3.04
Cu 0.0000 0.2011 0.7500 x4  6 Dy 2.75-3.04, 1 Nd 2.94

Results
**Energy relative to the elements**: -64 meV/atom
**Crystal system**: orthorhombic
**Raw total energy**: -4.5808 eV per atom
**ΔE to the lowest computed polymorph**: 39 meV per atom


Record 10
Tl2Sn3F8 | PBE | relaxed

Cell: 6.6374 6.9807 7.1004 Å, 71.44 76.22 81.01°
Last column: nearest neighbours and their distance in Å.
Space group P1 (No. 1)
Unique sites:
Tl 0.0000 0.0000 0.0000 x1  3 F 2.57-2.84
Tl 0.1419 0.5620 0.6778 x1  6 F 2.72-2.94
Sn 0.1208 0.2788 0.3153 x1  3 F 2.08-2.22
Sn 0.5786 0.6065 0.1023 x1  3 F 2.09-2.20
Sn 0.5974 0.0210 0.5662 x1  3 F 2.08-2.30
F 0.0269 0.5795 0.3094 x1  1 Sn 2.08
F 0.3683 0.4801 0.0083 x1  1 Sn 2.09
F 0.3709 0.8881 0.5040 x1  1 Sn 2.08
F 0.3931 0.3300 0.4181 x1  2 Sn 2.22-2.43
F 0.3982 0.0303 0.8390 x1  1 Sn 2.08
F 0.7194 0.7249 0.7791 x1  2 Sn 2.20-2.30
F 0.8048 0.3632 0.0875 x1  1 Sn 2.10
F 0.9848 0.2166 0.6338 x1  1 Sn 2.16

Results
**Crystal system**: triclinic
**Raw total energy**: -4.5648 eV per atom
**ΔE_f (raw)**: -2666 kJ/mol of formula units
**ΔE to the lowest computed polymorph**: 0 meV per atom


Record 11
CrCoGeRh | PBE | relaxed

Cell: 5.9325 5.9325 5.9325 Å, 90.00 90.00 90.00°
Last column: nearest neighbours and their distance in Å.
Space group F-43m (No. 216)
Unique sites:
Cr 0.0000 0.0000 0.0000 x4  4 Co 2.57, 4 Rh 2.57
Co 0.2500 0.2500 0.7500 x4  4 Ge 2.57, 4 Cr 2.57
Ge 0.0000 0.0000 0.5000 x4  4 Rh 2.57, 4 Co 2.57
Rh 0.2500 0.2500 0.2500 x4  4 Cr 2.57, 4 Ge 2.57

Results
**Energy relative to the elements**: -171 meV/atom
**Crystal system**: cubic
**Raw total energy**: -7.3457 eV per atom


Record 12
RbNaSn | PBE | relaxed

Cell: 5.9158 5.9158 3.5865 Å, 90.00 90.00 120.00°
Last column: nearest neighbours and their distance in Å.
Space group P3m1 (No. 156)
Unique sites:
Rb 0.0000 0.0000 0.0000 x1  2 Rb 3.59, 6 Na 3.85-3.87, 6 Sn 3.86
Na 0.3333 0.6667 0.5063 x1  3 Sn 3.42, 2 Na 3.59
Sn 0.6667 0.3333 0.4991 x1  3 Na 3.42, 2 Sn 3.59

Results
**Energy relative to the elements**: -30 meV/atom
**Crystal system**: trigonal
**Raw total energy**: -2.1263 eV per atom
**ΔE to the lowest computed polymorph**: 136 meV per atom


Record 13
CaSi2Rh | PBE | relaxed

Cell: 7.3375 3.8581 10.2627 Å, 90.00 90.00 90.00°
Last column: nearest neighbours and their distance in Å.
Space group Pnma (No. 62)
Unique sites:
Ca 0.1365 0.2500 0.1273 x4  9 Si 3.02-3.34, 2 Rh 3.24
Si 0.1715 0.2500 0.8205 x4  2 Rh 2.39-2.55, 2 Si 2.45
Si 0.1869 0.2500 0.4265 x4  3 Rh 2.37-2.45, 2 Si 2.45
Rh 0.0086 0.2500 0.6185 x4  5 Si 2.37-2.55

Results
**Crystal system**: orthorhombic
**Raw total energy**: -5.7696 eV per atom
**ΔE_f (raw)**: -278 kJ/mol of formula units


Record 14
KOsAu4 | PBE | relaxed

Cell: 7.9066 7.9066 7.9066 Å, 90.00 90.00 90.00°
Last column: nearest neighbours and their distance in Å.
Space group F-43m (No. 216)
Unique sites:
K 0.0000 0.0000 0.0000 x4  12 Au 3.28, 4 Os 3.42
Os 0.2500 0.2500 0.7500 x4  12 Au 3.28, 4 K 3.42
Au 0.1248 0.1248 0.3752 x16  6 Au 2.79-2.80

Results
**Energy relative to the elements**: 667 meV/atom
**Crystal system**: cubic
**Raw total energy**: -3.5727 eV per atom


Record 15
K3HfTi | PBE | relaxed

Cell: 6.6348 6.6348 6.6348 Å, 90.00 90.00 90.00°
Last column: nearest neighbours and their distance in Å.
Space group Pm-3m (No. 221)
Unique sites:
K 0.0000 0.0000 0.5000 x3  2 Hf 3.32
Hf 0.0000 0.0000 0.0000 x1  6 K 3.32
Ti 0.5000 0.5000 0.5000 x1  12 K 4.69

Results
**Energy relative to the elements**: 2006 meV/atom
**Crystal system**: cubic
**Raw total energy**: -2.2218 eV per atom
**ΔE to the lowest computed polymorph**: 119 meV per atom


Record 16
Ba3UCu2S8 | PBE | relaxed

Cell: 6.9859 6.9859 8.8871 Å, 90.00 90.00 120.00°
Last column: nearest neighbours and their distance in Å.
Space group P-3m1 (No. 164)
Unique sites:
Ba 0.0000 0.0000 0.0000 x1  6 S 3.52
Ba 0.3333 0.6667 0.6241 x2  4 S 3.01-3.34
U 0.0000 0.0000 0.5000 x1  6 S 2.54
Cu 0.3333 0.6667 0.2032 x2  4 S 2.14-2.30
S 0.1659 0.3317 0.3255 x6  1 Cu 2.30, 1 U 2.54
S 0.3333 0.6667 0.9623 x2  1 Cu 2.14

Results
**Crystal system**: trigonal
**Raw total energy**: -5.3351 eV per atom
**ΔE_f (raw)**: -1585 kJ/mol of formula units


Record 17
YAgIr2 | PBE | relaxed

Cell: 2.9232 4.6300 5.4134 Å, 90.00 101.14 90.00°
Last column: nearest neighbours and their distance in Å.
Space group P2/m (No. 10)
Unique sites:
Y 0.0000 0.0000 0.0000 x1  2 Ag 2.82, 2 Y 2.92, 4 Ir 3.01
Ag 0.5000 0.0000 0.5000 x1  4 Ir 2.70, 2 Y 2.82, 2 Ag 2.92
Ir 0.3260 0.5000 0.7224 x2  2 Ag 2.70, 5 Ir 2.77-2.98, 2 Y 3.01

Results
**Energy relative to the elements**: -16 meV/atom
**Crystal system**: monoclinic
**Raw total energy**: -6.7751 eV per atom
**ΔE to the lowest computed polymorph**: 206 meV per atom


Record 18
ZrBSb2 | PBE | relaxed

Cell: 6.9563 6.9563 6.9531 Å, 90.00 90.00 90.00°
Last column: nearest neighbours and their distance in Å.
Space group I-42d (No. 122)
Unique sites:
Zr 0.0000 0.0000 0.0000 x4  8 Sb 3.01-3.35
B 0.0000 0.0000 0.5000 x4  4 Sb 2.28
Sb 0.1700 0.2500 0.6250 x8  2 B 2.28

Results
**Crystal system**: tetragonal
**Raw total energy**: -5.5704 eV per atom
**ΔE_f (raw)**: 115 kJ/mol of formula units


Record 19
Pm2Tm2Ag | PBE | relaxed

Cell: 3.5750 3.5750 22.7879 Å, 90.00 90.00 90.00°
Last column: nearest neighbours and their distance in Å.
Space group I4/mmm (No. 139)
Unique sites:
Pm 0.0000 0.0000 0.1924 x4  8 Pm 3.57-3.65, 4 Tm 3.60
Tm 0.0000 0.0000 0.4201 x4  4 Ag 3.12
Ag 0.0000 0.0000 0.0000 x2  8 Tm 3.12

Results
**Energy relative to the elements**: -106 meV/atom
**Crystal system**: tetragonal
**Raw total energy**: -4.3655 eV per atom


Record 20
MnFe2Pt9 | PBE | relaxed

Cell: 3.9232 3.9232 11.7679 Å, 90.00 90.00 90.00°
Last column: nearest neighbours and their distance in Å.
Space group P4/mmm (No. 123)
Unique sites:
Mn 0.0000 0.0000 0.0000 x1  12 Pt 2.77-2.80
Fe 0.0000 0.0000 0.3329 x2  12 Pt 2.75-2.78
Pt 0.0000 0.5000 0.1693 x4  2 Fe 2.75, 8 Pt 2.76-2.80, 2 Mn 2.80
Pt 0.0000 0.5000 0.5000 x2  8 Pt 2.76-2.77, 4 Fe 2.78
Pt 0.5000 0.5000 0.0000 x1  4 Mn 2.77, 8 Pt 2.80
Pt 0.5000 0.5000 0.3346 x2  8 Pt 2.76, 4 Fe 2.77

Results
**Energy relative to the elements**: -261 meV/atom
**Crystal system**: tetragonal
**Raw total energy**: -6.9661 eV per atom